(1)
This record from Alexandria describes crystalline DyHgPb2 at its relaxed geometry. The functional is PBE-GGA.

Cell: 4.8632 4.8632 4.5607 Å, 90.00 90.00 90.00°
Last column: nearest neighbours and their distance in Å.
Sites, in units of the cell vectors:
Dy (0.0000, 0.0000, 0.0000)  8 Pb 3.33, 4 Hg 3.44
Hg (0.5000, 0.5000, 0.0000)  8 Pb 3.33, 4 Dy 3.44
Pb (0.0000, 0.5000, 0.5000)  4 Hg 3.33, 4 Dy 3.33, 4 Pb 3.44
Pb (0.5000, 0.0000, 0.5000)  4 Hg 3.33, 4 Dy 3.33, 4 Pb 3.44

Output
Symmetry: No. 123
Volume: 26.97 Å³/atom
DOS(E_F): 0.470 states/eV per atom
E_tot: -13.56 eV per cell


(2)
This record from Alexandria describes crystalline La5Tb2Pr6 at its relaxed geometry. The functional is PBE-GGA.

Cell: 11.9743 21.3012 3.7011 Å, 90.00 90.00 90.00°
Last column: nearest neighbours and their distance in Å.
Sites, in units of the cell vectors:
La (0.0000, 0.0000, 0.0000)  6 Pr 3.48-3.65, 4 La 3.70-3.78
La (0.0840, 0.2713, 0.0000)  5 Pr 3.45-3.64, 4 Tb 3.59-3.72, 2 La 3.70
La (0.1979, 0.5511, 0.0000)  6 Pr 3.61-3.76, 3 La 3.70-3.78, 2 Tb 3.86
La (0.3021, 0.0511, 0.0000)  6 Pr 3.61-3.76, 3 La 3.70-3.78, 2 Tb 3.86
La (0.4160, 0.7713, 0.0000)  5 Pr 3.45-3.64, 4 Tb 3.59-3.72, 2 La 3.70
La (0.5000, 0.5000, 0.0000)  6 Pr 3.48-3.65, 4 La 3.70-3.78
La (0.5840, 0.2287, 0.0000)  5 Pr 3.45-3.64, 4 Tb 3.59-3.72, 2 La 3.70
La (0.6979, 0.9489, 0.0000)  6 Pr 3.61-3.76, 3 La 3.70-3.78, 2 Tb 3.86
La (0.8021, 0.4489, 0.0000)  6 Pr 3.61-3.76, 3 La 3.70-3.78, 2 Tb 3.86
La (0.9160, 0.7287, 0.0000)  5 Pr 3.45-3.64, 4 Tb 3.59-3.72, 2 La 3.70
Tb (0.1703, 0.7091, 0.5000)  3 Pr 3.38-3.70, 4 La 3.59-3.72, 2 Tb 3.70
Tb (0.3297, 0.2091, 0.5000)  3 Pr 3.38-3.70, 4 La 3.59-3.72, 2 Tb 3.70
Tb (0.6703, 0.7909, 0.5000)  3 Pr 3.38-3.70, 4 La 3.59-3.72, 2 Tb 3.70
Tb (0.8297, 0.2909, 0.5000)  3 Pr 3.38-3.70, 4 La 3.59-3.72, 2 Tb 3.70
Pr (0.0608, 0.4179, 0.5000)  6 La 3.64-3.76, 5 Pr 3.70-3.87, 1 Tb 3.87
Pr (0.0846, 0.1302, 0.5000)  1 Tb 3.38, 6 La 3.48-3.61, 4 Pr 3.62-3.70
Pr (0.1748, 0.8597, 0.0000)  2 La 3.45-3.65, 4 Pr 3.62-3.70, 2 Tb 3.70
Pr (0.3252, 0.3597, 0.0000)  2 La 3.45-3.65, 4 Pr 3.62-3.70, 2 Tb 3.70
Pr (0.4154, 0.6302, 0.5000)  1 Tb 3.38, 6 La 3.48-3.61, 4 Pr 3.62-3.70
Pr (0.4392, 0.9179, 0.5000)  6 La 3.64-3.76, 5 Pr 3.70-3.87, 1 Tb 3.87
Pr (0.5608, 0.0821, 0.5000)  6 La 3.64-3.76, 5 Pr 3.70-3.87, 1 Tb 3.87
Pr (0.5846, 0.3698, 0.5000)  1 Tb 3.38, 6 La 3.48-3.61, 4 Pr 3.62-3.70
Pr (0.6748, 0.6403, 0.0000)  2 La 3.45-3.65, 4 Pr 3.62-3.70, 2 Tb 3.70
Pr (0.8252, 0.1403, 0.0000)  2 La 3.45-3.65, 4 Pr 3.62-3.70, 2 Tb 3.70
Pr (0.9154, 0.8698, 0.5000)  1 Tb 3.38, 6 La 3.48-3.61, 4 Pr 3.62-3.70
Pr (0.9392, 0.5821, 0.5000)  6 La 3.64-3.76, 5 Pr 3.70-3.87, 1 Tb 3.87

Output
Symmetry: No. 55
Volume: 36.31 Å³/atom
DOS(E_F): 1.268 states/eV per atom
E_tot: -123.10 eV per cell


(3)
This record from Alexandria describes crystalline Mn2AgAu9 at its relaxed geometry. The functional is PBE-GGA.

Cell: 4.1324 4.1324 12.4085 Å, 90.00 90.00 90.00°
Last column: nearest neighbours and their distance in Å.
Sites, in units of the cell vectors:
Mn (0.0000, 0.0000, 0.1676)  12 Au 2.87-2.93
Mn (0.0000, 0.0000, 0.8324)  12 Au 2.87-2.93
Ag (0.0000, 0.0000, 0.5000)  12 Au 2.92-2.97
Au (0.0000, 0.5000, 0.0000)  8 Au 2.90-2.92, 4 Mn 2.93
Au (0.0000, 0.5000, 0.3286)  2 Mn 2.87, 8 Au 2.90-2.97, 2 Ag 2.97
Au (0.0000, 0.5000, 0.6714)  2 Mn 2.87, 8 Au 2.90-2.97, 2 Ag 2.97
Au (0.5000, 0.0000, 0.0000)  8 Au 2.90-2.92, 4 Mn 2.93
Au (0.5000, 0.0000, 0.3286)  2 Mn 2.87, 8 Au 2.90-2.97, 2 Ag 2.97
Au (0.5000, 0.0000, 0.6714)  2 Mn 2.87, 8 Au 2.90-2.97, 2 Ag 2.97
Au (0.5000, 0.5000, 0.1643)  8 Au 2.90, 4 Mn 2.92
Au (0.5000, 0.5000, 0.5000)  4 Ag 2.92, 8 Au 2.97
Au (0.5000, 0.5000, 0.8357)  8 Au 2.90, 4 Mn 2.92

Output
Symmetry: No. 123
Volume: 17.66 Å³/atom
DOS(E_F): 0.297 states/eV per atom
E_tot: -51.07 eV per cell


(4)
This record from Alexandria describes crystalline Ba3NaGa2S6 at its relaxed geometry. The functional is PBE-GGA.

Cell: 7.3852 7.3852 7.8782 Å, 90.00 90.00 120.00°
Last column: nearest neighbours and their distance in Å.
Sites, in units of the cell vectors:
Ba (0.0000, 0.0000, 0.0000)  6 S 3.15
Ba (0.3333, 0.6667, 0.6223)  9 S 3.36-3.76, 1 Ga 3.43
Ba (0.6667, 0.3333, 0.3777)  9 S 3.36-3.76, 1 Ga 3.43
Na (0.0000, 0.0000, 0.5000)  6 S 2.75
Ga (0.3333, 0.6667, 0.1866)  3 S 2.23
Ga (0.6667, 0.3333, 0.8134)  3 S 2.23
S (0.1704, 0.3408, 0.2878)  1 Ga 2.23
S (0.1704, 0.8296, 0.2878)  1 Ga 2.23
S (0.3408, 0.1704, 0.7122)  1 Ga 2.23
S (0.6592, 0.8296, 0.2878)  1 Ga 2.23
S (0.8296, 0.1704, 0.7122)  1 Ga 2.23
S (0.8296, 0.6592, 0.7122)  1 Ga 2.23

Output
Symmetry: No. 164
Volume: 31.01 Å³/atom
DOS(E_F): 0.287 states/eV per atom
E_tot: -52.65 eV per cell


(5)
This record from Alexandria describes crystalline TiTe2P at its relaxed geometry. The functional is PBE-GGA.

Cell: 5.9804 5.9804 13.9994 Å, 90.00 90.00 90.00°
Last column: nearest neighbours and their distance in Å.
Sites, in units of the cell vectors:
Ti (0.0000, 0.0000, 0.0000)  4 Te 2.75
Ti (0.0000, 0.5000, 0.2500)  4 Te 2.75
Ti (0.5000, 0.0000, 0.7500)  4 Te 2.75
Ti (0.5000, 0.5000, 0.5000)  4 Te 2.75
Te (0.2487, 0.2500, 0.6250)  2 P 2.74, 2 Ti 2.75
Te (0.2500, 0.7487, 0.8750)  2 P 2.74, 2 Ti 2.75
Te (0.2500, 0.7513, 0.3750)  2 P 2.74, 2 Ti 2.75
Te (0.2513, 0.2500, 0.1250)  2 P 2.74, 2 Ti 2.75
Te (0.7487, 0.7500, 0.1250)  2 P 2.74, 2 Ti 2.75
Te (0.7500, 0.2487, 0.3750)  2 P 2.74, 2 Ti 2.75
Te (0.7500, 0.2513, 0.8750)  2 P 2.74, 2 Ti 2.75
Te (0.7513, 0.7500, 0.6250)  2 P 2.74, 2 Ti 2.75
P (0.0000, 0.0000, 0.5000)  4 Te 2.74
P (0.0000, 0.5000, 0.7500)  4 Te 2.74
P (0.5000, 0.0000, 0.2500)  4 Te 2.74
P (0.5000, 0.5000, 0.0000)  4 Te 2.74

Output
Symmetry: No. 122
Volume: 31.29 Å³/atom
DOS(E_F): 0.955 states/eV per atom
E_tot: -74.10 eV per cell


(6)
This record from Alexandria describes crystalline Zn2Si2Se at its relaxed geometry. The functional is PBE-GGA.

Cell: 4.1733 4.1733 10.4156 Å, 90.00 90.00 90.00°
Last column: nearest neighbours and their distance in Å.
Sites, in units of the cell vectors:
Zn (0.0000, 0.5000, 0.2500)  4 Si 2.55
Zn (0.0000, 0.5000, 0.7500)  4 Si 2.55
Zn (0.5000, 0.0000, 0.2500)  4 Si 2.55
Zn (0.5000, 0.0000, 0.7500)  4 Si 2.55
Si (0.0000, 0.0000, 0.1099)  1 Si 2.29, 4 Zn 2.55
Si (0.0000, 0.0000, 0.8901)  1 Si 2.29, 4 Zn 2.55
Si (0.5000, 0.5000, 0.3901)  1 Si 2.29, 4 Zn 2.55
Si (0.5000, 0.5000, 0.6099)  1 Si 2.29, 4 Zn 2.55
Se (0.0000, 0.0000, 0.5000)  8 Si 3.17, 8 Zn 3.34
Se (0.5000, 0.5000, 0.0000)  8 Si 3.17, 8 Zn 3.34

Output
E above lowest polymorph: 148 meV/atom
Symmetry: No. 139
Volume: 18.14 Å³/atom
DOS(E_F): 0.533 states/eV per atom


(7)
This record from Alexandria describes crystalline Sm2PuO8 at its relaxed geometry. The functional is PBE-GGA.

Cell: 6.9767 6.9767 5.0905 Å, 110.05 110.05 35.21°
Last column: nearest neighbours and their distance in Å.
Sites, in units of the cell vectors:
Sm (0.1637, 0.1637, 0.1651)  10 O 2.43-2.70
Sm (0.8363, 0.8363, 0.8349)  10 O 2.43-2.70
Pu (0.5000, 0.5000, 0.5000)  4 O 1.89-2.00
O (0.0040, 0.0040, 0.7373)  5 O 2.38-2.64, 2 Pu 2.42, 2 Sm 2.43-2.45
O (0.2322, 0.2322, 0.6765)  1 O 2.14
O (0.3693, 0.3693, 0.1860)  1 Pu 1.89
O (0.3970, 0.3970, 0.7047)  1 Pu 2.00, 1 O 2.14
O (0.6030, 0.6030, 0.2953)  1 Pu 2.00, 1 O 2.14
O (0.6307, 0.6307, 0.8140)  1 Pu 1.89
O (0.7678, 0.7678, 0.3235)  1 O 2.14
O (0.9960, 0.9960, 0.2627)  5 O 2.38-2.64, 2 Pu 2.42, 2 Sm 2.43-2.45

Output
Symmetry: No. 12
Volume: 12.12 Å³/atom
DOS(E_F): 0.268 states/eV per atom
E_tot: -87.48 eV per cell